No. 1
A geometry-optimized Rb3Tb3NpTe8 structure. Source: Alexandria via LeMat-Bulk, functional PBE.

## Properties
M_tot: 3.0 Bohr magnetons per cell
total DFT energy (no corrections): -73.318 eV/cell
D(E_F): 0.206 states/eV per atom

a b c (Å): 8.970 8.968 10.146
angles (deg): 116.26 90.00 120.00
Each line ends with the local moment (μB).
Fractional coordinates of all 15 atoms:
Rb1 0.000 0.500 0.000  0.00
Tb1 0.500 0.000 0.500  0.00
Tb2 0.000 0.500 0.500  0.00
Te1 0.734 0.966 0.697  -0.05
Te2 0.231 0.966 0.697  -0.05
Te3 0.769 0.034 0.303  -0.05
Te4 0.267 0.533 0.300  0.00
Te5 0.266 0.034 0.303  -0.05
Rb2 0.500 0.500 0.000  0.00
Tb3 0.500 0.500 0.500  0.00
Rb3 0.000 0.000 0.000  0.00
Te6 0.733 0.467 0.700  0.00
Te7 0.231 0.463 0.697  -0.05
Np1 0.000 0.000 0.500  3.50
Te8 0.769 0.537 0.303  -0.05


No. 2
A geometry-optimized Rb2TbNp2Te6 structure. Source: Alexandria via LeMat-Bulk, functional PBE.

## Properties
M_tot: 7.0 Bohr magnetons per cell
total DFT energy (no corrections): -62.297 eV/cell
D(E_F): 1.508 states/eV per atom

a b c (Å): 7.761 7.761 9.124
angles (deg): 98.10 98.10 120.02
Each line ends with the local moment (μB).
Fractional coordinates of all 11 atoms:
Tb1 0.000 0.000 0.500  0.00
Te1 0.066 0.400 0.697  -0.08
Te2 0.400 0.066 0.697  -0.08
Rb1 0.834 0.166 0.000  0.00
Np1 0.667 0.333 0.500  3.75
Te3 0.934 0.600 0.303  -0.08
Te4 0.729 0.729 0.697  -0.08
Np2 0.333 0.667 0.500  3.75
Te5 0.271 0.271 0.303  -0.08
Rb2 0.166 0.834 0.000  0.00
Te6 0.600 0.934 0.303  -0.08


No. 3
A geometry-optimized Rb4TbNp3Te8 structure. Source: Alexandria via LeMat-Bulk, functional PBE.

## Properties
M_tot: 12.0 Bohr magnetons per cell
total DFT energy (no corrections): -88.536 eV/cell
D(E_F): 1.567 states/eV per atom

a b c (Å): 9.183 10.037 9.185
angles (deg): 117.24 119.99 90.00
Each line ends with the local moment (μB).
Fractional coordinates of all 16 atoms:
Te1 0.768 0.300 0.536  0.05
Rb1 0.000 0.000 0.500  0.00
Rb2 0.500 0.000 0.500  0.00
Tb1 0.000 0.500 0.000  -0.04
Te2 0.232 0.700 0.464  0.05
Rb3 0.000 0.000 0.000  0.00
Te3 0.736 0.700 0.968  0.05
Np1 0.500 0.500 0.000  -4.01
Np2 0.000 0.500 0.500  -4.01
Te4 0.733 0.699 0.466  0.08
Rb4 0.500 0.000 0.000  0.00
Np3 0.500 0.500 0.500  -4.01
Te5 0.267 0.301 0.534  0.08
Te6 0.768 0.300 0.032  0.05
Te7 0.232 0.700 0.968  0.05
Te8 0.264 0.300 0.032  0.05